Ba3Nb2MoO9 | GGA+U | relaxed

The structure in CIF format:
```
data_Ba3Nb2MoO9
_space_group_name_H-M_alt 'P -3 m 1'
_space_group_IT_number 164
_space_group_name_Hall '-P 3 2"'
_cell_length_a 5.8947
_cell_length_b 5.8947
_cell_length_c 7.2281
_cell_angle_alpha 90.00
_cell_angle_beta 90.00
_cell_angle_gamma 120.00
loop_
_atom_site_label
_atom_site_type_symbol
_atom_site_fract_x
_atom_site_fract_y
_atom_site_fract_z
_atom_site_occupancy
Ba1 Ba 0.0000 0.0000 0.0000 1
Ba2 Ba 0.3333 0.6667 0.6644 1
Nb1 Nb 0.3333 0.6667 0.1687 1
Mo1 Mo 0.0000 0.0000 0.5000 1
O1 O 0.0000 0.5000 0.0000 1
O2 O 0.1707 0.3414 0.3264 1
```

Results
* energy: -117.44 eV for the cell shown